A relaxed Li3DyTm2Se6 crystal, computed with GGA-PBE.

Cell and atoms, written as POSCAR:
```
Li3DyTm2Se6
1.0
3.496 -6.055 0.000
3.496 6.055 0.000
-2.330 0.000 6.488
Li Dy Tm Se
3 1 2 6
Direct
0.000 0.000 0.000 Li
0.333 0.667 0.000 Li
0.667 0.333 0.000 Li
0.500 0.500 0.500 Dy
0.167 0.833 0.500 Tm
0.833 0.167 0.500 Tm
0.080 0.416 0.249 Se
0.247 0.247 0.752 Se
0.416 0.080 0.249 Se
0.584 0.920 0.751 Se
0.753 0.753 0.248 Se
0.920 0.584 0.751 Se
```

Results
**Magnetic moment**: 0.00 Bohr magnetons per cell
**V**: 274.7 Å³ per cell
**Density of states at the Fermi level**: 0.0 states/eV per cell
**ΔE_f (raw)**: -1.70 eV/atom